# 1
VTcNiP2 | GGA-PBE | relaxed

Summary:
polymorph energy (0 for the lowest one)	69	meV per atom
density of states at the Fermi level	3.7	states/eV/f.u.

The structure in POSCAR format:
```
VTcNiP2
1.0
-1.542 1.610 6.633
1.542 -1.610 6.633
1.542 1.610 -6.633
V Tc Ni P
1 1 1 2
direct
0.000 0.000 0.000
0.197 0.697 0.500
0.380 0.380 0.000
0.556 0.556 0.000
0.774 0.274 0.500
```



# 2
VTcNiP2 | GGA-PBE | relaxed

Summary:
polymorph energy (0 for the lowest one)	269	meV per atom
density of states at the Fermi level	2.9	states/eV/f.u.

The structure in POSCAR format:
```
VTcNiP2
1.0
3.830 0.000 0.000
0.000 1.531 5.830
0.000 -1.531 5.830
V Tc Ni P
1 1 1 2
direct
0.000 0.000 0.000
0.500 0.871 0.871
0.500 0.189 0.189
0.000 0.310 0.310
0.500 0.549 0.549
```



# 3
VTcNiP2 | GGA-PBE | relaxed

Summary:
polymorph energy (0 for the lowest one)	144	meV per atom
density of states at the Fermi level	2.7	states/eV/f.u.

The structure in POSCAR format:
```
VTcNiP2
1.0
4.124 -1.732 0.000
4.124 1.732 0.000
-4.110 0.000 4.621
V Tc Ni P
1 1 1 2
direct
0.000 0.000 0.000
0.890 0.890 0.360
0.602 0.602 0.790
0.249 0.249 0.509
0.317 0.317 0.040
```